Material: NiAuSe2
Method: DFT, PBE
State: relaxed

Cell and atoms, written as POSCAR:
```
NiAuSe2
1.0
3.5713 0.0000 0.0000
0.0000 7.8069 0.0000
0.0000 0.0000 3.5540
Au Ni Se
1 1 2
direct
0.5000 0.0000 0.5000
0.0000 0.5000 0.5000
0.0000 0.0000 0.0000
0.5000 0.5000 0.0000
```

Values from the calculation:
As for the symmetry: No. 47. The calculation puts the formation energy from raw total energies at 0.338 eV per atom.

---

Material: NiAuSe2
Method: DFT, PBE
State: relaxed

Cell and atoms, written as POSCAR:
```
NiAuSe2
1.0
-6.4453 1.8179 -3.7983
-1.1933 -7.4483 -1.5399
-5.2373 -3.0612 -0.3805
Ni Se Au
2 4 2
direct
0.7500 0.2500 0.5000
0.2500 0.7500 0.5000
0.3300 0.1700 0.0000
0.6700 0.8300 0.0000
0.8300 0.3300 0.0000
0.1700 0.6700 0.0000
0.7500 0.7500 0.5000
0.2500 0.2500 0.5000
```

Values from the calculation:
As for the symmetry: No. 140. The calculation puts the formation energy from raw total energies at 0.128 eV per atom.

---

Material: NiAuSe2
Method: DFT, PBE
State: relaxed

Cell and atoms, written as POSCAR:
```
NiAuSe2
1.0
-5.6889 2.2110 -4.2728
1.7735 -1.0054 -2.8815
-5.4850 -12.3260 0.9247
Ni Se Au
4 8 4
direct
0.9587 0.7500 0.8991
0.0413 0.2500 0.1009
0.4587 0.7500 0.6009
0.5413 0.2500 0.3991
0.3451 0.7500 0.4308
0.2881 0.2500 0.6679
0.8451 0.7500 0.0692
0.2119 0.7500 0.1679
0.7119 0.7500 0.3321
0.6549 0.2500 0.5692
0.7881 0.2500 0.8321
0.1549 0.2500 0.9308
0.4875 0.2500 0.9089
0.5125 0.7500 0.0911
0.9875 0.2500 0.5911
0.0125 0.7500 0.4089
```

Values from the calculation:
As for the symmetry: No. 62. The calculation puts the formation energy from raw total energies at -0.110 eV per atom.

---

Material: NiAuSe2
Method: DFT, PBE
State: relaxed

Cell and atoms, written as POSCAR:
```
NiAuSe2
1.0
-3.5290 0.1764 -1.2702
1.1248 -1.3606 -3.3139
-0.8637 -4.9003 1.7188
Se Au Ni
2 1 1
direct
0.0000 0.0000 0.0000
0.5000 0.5000 0.5000
0.5000 0.5000 0.0000
0.0000 0.0000 0.5000
```

Values from the calculation:
As for the symmetry: No. 123. The calculation puts the formation energy from raw total energies at 0.071 eV per atom.

---

Material: NiAuSe2
Method: DFT, PBE
State: relaxed

Cell and atoms, written as POSCAR:
```
NiAuSe2
1.0
-3.5668 2.7926 -5.5780
1.8933 -2.3589 -2.3916
-8.5798 -8.2574 1.3523
Se Au Ni
8 4 4
direct
0.2365 0.7500 0.4719
0.7635 0.2500 0.5281
0.2635 0.2500 0.9719
0.7365 0.7500 0.0281
0.1582 0.7500 0.1804
0.3418 0.2500 0.6804
0.8418 0.2500 0.8196
0.6582 0.7500 0.3196
0.1687 0.2500 0.3210
0.6687 0.2500 0.1790
0.3313 0.7500 0.8210
0.8313 0.7500 0.6790
0.5834 0.2500 0.9384
0.0834 0.2500 0.5616
0.9166 0.7500 0.4384
0.4166 0.7500 0.0616
```

Values from the calculation:
As for the symmetry: No. 62. The calculation puts the formation energy from raw total energies at -0.030 eV per atom.

---

Material: NiAu4Se
Method: DFT, PBE
State: relaxed

Cell and atoms, written as POSCAR:
```
NiAu4Se
1.0
0.0000 3.8818 3.8818
3.8818 0.0000 3.8818
3.8818 3.8818 0.0000
Se Au Ni
1 4 1
direct
0.0000 0.0000 0.0000
0.6246 0.6246 0.1261
0.1261 0.6246 0.6246
0.6246 0.6246 0.6246
0.6246 0.1261 0.6246
0.2500 0.2500 0.2500
```

Values from the calculation:
As for the symmetry: No. 216. The calculation puts the formation energy from raw total energies at 0.465 eV per atom.

---

Material: NiAu2Se
Method: DFT, PBE
State: relaxed

Cell and atoms, written as POSCAR:
```
NiAu2Se
1.0
-2.0431 1.7439 0.8664
-1.5760 -2.2136 0.7631
3.6001 0.2147 8.0578
Se Au Ni
1 2 1
direct
0.5000 0.5000 0.7500
0.0000 0.0000 0.0443
0.0000 0.0000 0.4557
0.5000 0.5000 0.2500
```

Values from the calculation:
As for the symmetry: No. 65. The calculation puts the formation energy from raw total energies at 0.241 eV per atom.

---

Material: NiAuSe2
Method: DFT, PBE
State: relaxed

Cell and atoms, written as POSCAR:
```
NiAuSe2
1.0
4.5006 0.0057 0.0000
-0.8849 4.4128 0.0000
0.0000 0.0000 3.5439
Ni Au Se
1 1 2
direct
0.0000 0.5000 0.5000
0.5000 0.0000 0.5000
0.5000 0.5000 0.0000
0.0000 0.0000 0.0000
```

Values from the calculation:
As for the symmetry: No. 65. The calculation puts the formation energy from raw total energies at 0.402 eV per atom.

---

no.,M_tot (μB/f.u.)
1,1.23
2,0.00
3,0.00
4,0.00
5,0.00
6,0.81
7,0.36
8,0.00